Below is a relaxed NpScRh6 crystal, with properties calculated at the GGA-PBE level.

Values from the calculation:
As for the symmetry: No. 25. The value obtained for the energy of formation from the pure elements is -0.459 eV per atom. As for the final energy: -8.38 eV per atom. The density of states at the Fermi level is 10.9 states/eV/cell.

Unit cell a=4.5275 b=4.9210 c=5.6816 alpha=90.00 beta=90.00 gamma=90.00
Closest atoms and distances in Å follow each position.
Atoms (fractional coordinates):
Rh1 0.0000 0.6793 0.5000  8 Rh 2.75-2.89, 2 Np 2.82, 2 Sc 2.84
Rh2 0.5000 0.8341 0.2606  8 Rh 2.72-2.96, 2 Np 2.80-2.82, 2 Sc 2.83
Rh3 0.0000 0.1680 0.7496  8 Rh 2.77-2.89, 2 Np 2.80, 2 Sc 2.84-2.85
Np1 0.5000 0.3360 0.5000  12 Rh 2.80-2.84
Rh4 0.0000 0.1680 0.2504  8 Rh 2.77-2.89, 2 Np 2.80, 2 Sc 2.84-2.85
Rh5 0.5000 0.8341 0.7394  8 Rh 2.72-2.96, 2 Np 2.80-2.82, 2 Sc 2.83
Rh6 0.5000 0.3141 0.0000  8 Rh 2.77-2.96, 2 Np 2.84, 2 Sc 2.85
Sc1 0.0000 0.6664 0.0000  12 Rh 2.83-2.85

Below is a relaxed NpScRh crystal, with properties calculated at the GGA-PBE level.

Values from the calculation:
As for the symmetry: No. 63. The value obtained for the energy of formation from the pure elements is -0.428 eV per atom. As for the final energy: -9.30 eV per atom. The density of states at the Fermi level is 6.7 states/eV/cell.

Unit cell a=3.1561 b=4.6121 c=7.8565 alpha=90.00 beta=101.59 gamma=90.00
Closest atoms and distances in Å follow each position.
Atoms (fractional coordinates):
Rh1 0.4233 0.2500 0.8467  6 Sc 2.78-2.80, 2 Np 2.95
Np1 0.2382 0.7500 0.4765  4 Np 2.82, 2 Rh 2.95
Sc1 0.0722 0.2500 0.1444  6 Rh 2.78-2.80
Sc2 0.9278 0.7500 0.8556  6 Rh 2.78-2.80
Rh2 0.5767 0.7500 0.1533  6 Sc 2.78-2.80, 2 Np 2.95
Np2 0.7618 0.2500 0.5235  4 Np 2.82, 2 Rh 2.95